Material: LaPm4Er2Sc
Method: DFT, PBE
State: optimized geometry

Results
E, eV per atom: -4.8910
E_form, eV per atom: 0.03
Crystal system: orthorhombic
Magnetization, μB per atom: 0.000

a = 5.064 Å, b = 11.313 Å, c = 5.047 Å
α = 63.54°, β = 90.00°, γ = 90.00°
Element x y z (fractional)
La  0.500  0.500  0.000
Pm  0.000  0.750  0.749
Pm  0.000  0.250  0.251
Pm  0.500  0.751  0.249
Pm  0.500  0.249  0.751
Er  0.000  0.000  0.000
Er  0.500  0.000  0.500
Sc  0.000  0.500  0.500

Material: Tb3Pm2Nd6Sm
Method: DFT, PBE
State: optimized geometry

Results
E, eV per atom: -4.7142
E_form, eV per atom: 0.01
Crystal system: monoclinic
Magnetization, μB per atom: 0.000

a = 6.319 Å, b = 6.319 Å, c = 12.031 Å
α = 95.02°, β = 95.02°, γ = 120.00°
Element x y z (fractional)
Tb  0.167  0.833  0.500
Tb  0.833  0.167  0.500
Tb  0.500  0.500  0.500
Pm  0.333  0.667  0.000
Pm  0.667  0.333  0.000
Nd  0.916  0.583  0.748
Nd  0.751  0.751  0.252
Nd  0.084  0.417  0.252
Nd  0.583  0.916  0.748
Nd  0.249  0.249  0.748
Nd  0.417  0.084  0.252
Sm  0.000  0.000  0.000

Material: NbB3Mo
Method: DFT, PBE
State: optimized geometry

Results
Relative energy among the computed polymorphs, meV/atom: 125.7
E, eV per atom: -8.6944
E_form, eV per atom: -0.51
Crystal system: orthorhombic
Magnetization, μB per atom: 0.000

a = 3.110 Å, b = 3.290 Å, c = 9.822 Å
α = 99.64°, β = 90.00°, γ = 90.00°
Element x y z (fractional)
Nb  0.250  0.799  0.598
Nb  0.750  0.201  0.402
B  0.250  0.386  0.772
B  0.750  0.614  0.228
B  0.250  0.478  0.956
B  0.750  0.522  0.044
B  0.750  0.336  0.671
B  0.250  0.664  0.329
Mo  0.250  0.069  0.139
Mo  0.750  0.931  0.861

Material: Sm3Be2SiPt9
Method: DFT, PBE
State: optimized geometry

Results
E, eV per atom: -6.2934
Uncorrected formation energy, eV per atom: -0.867
Crystal system: trigonal
Magnetization, μB per atom: 0.000

a = 5.828 Å, b = 5.828 Å, c = 9.179 Å
α = 90.00°, β = 90.00°, γ = 120.00°
Element x y z (fractional)
Sm  0.333  0.667  0.618
Sm  0.000  0.000  0.000
Sm  0.667  0.333  0.382
Be  0.333  0.667  0.153
Be  0.667  0.333  0.847
Si  0.000  0.000  0.500
Pt  0.837  0.163  0.695
Pt  0.837  0.674  0.695
Pt  0.326  0.163  0.695
Pt  0.674  0.837  0.305
Pt  0.163  0.326  0.305
Pt  0.163  0.837  0.305
Pt  0.500  0.000  0.000
Pt  0.000  0.500  0.000
Pt  0.500  0.500  0.000